Computed, not measured: a geometry-optimized Co2NiAg structure at the PBE level of DFT.

abc: 2.695 3.285 5.794
angles: 90.00 90.00 90.00
Space group Pmm2 (No. 25)
One atom of each set of equivalent atoms:
Co  0.000  0.000  0.000 [1 per cell]
Co  0.500  0.500  0.199 [1 per cell]
Ni  0.000  0.000  0.420 [1 per cell]
Ag  0.500  0.500  0.704 [1 per cell]

Results
Crystal system ... orthorhombic
Total moment ... 0.9970 μB/atom
ΔE to the lowest computed polymorph ... 39 meV/atom
Calculated density ... 9.210 Mg/m³
Calculated formation energy ... 248.3 meV/atom

=====

Computed, not measured: a geometry-optimized CoNiAg2 structure at the PBE level of DFT.

abc: 3.862 3.862 7.795
angles: 90.00 90.00 90.00
Space group I4/mmm (No. 139)
One atom of each set of equivalent atoms:
Co  0.000  0.000  0.000 [2 per cell]
Ni  0.000  0.000  0.500 [2 per cell]
Ag  0.000  0.500  0.250 [4 per cell]

Results
Crystal system ... tetragonal
Total moment ... 0.5711 μB/atom
ΔE to the lowest computed polymorph ... 216 meV/atom
Calculated density ... 9.523 Mg/m³
Calculated formation energy ... 424.4 meV/atom

=====

Computed, not measured: a geometry-optimized Co2NiAg structure at the PBE level of DFT.

abc: 2.613 3.644 5.392
angles: 90.00 90.11 90.00
Space group P2/m (No. 10)
One atom of each set of equivalent atoms:
Co  0.001  0.000  0.288 [2 per cell]
Ni  0.500  0.500  0.500 [1 per cell]
Ag  0.500  0.500  0.000 [1 per cell]

Results
Crystal system ... monoclinic
Total moment ... 1.0311 μB/atom
ΔE to the lowest computed polymorph ... 80 meV/atom
Calculated density ... 9.198 Mg/m³
Calculated formation energy ... 288.5 meV/atom

=====

Computed, not measured: a geometry-optimized CoNiAg2 structure at the PBE level of DFT.

abc: 3.869 3.869 3.879
angles: 90.00 90.00 90.00
Space group P4/mmm (No. 123)
One atom of each set of equivalent atoms:
Co  0.000  0.000  0.000 [1 per cell]
Ni  0.500  0.500  0.000 [1 per cell]
Ag  0.000  0.500  0.500 [2 per cell]

Results
Crystal system ... tetragonal
Total moment ... 0.5625 μB/atom
ΔE to the lowest computed polymorph ... 225 meV/atom
Calculated density ... 9.530 Mg/m³
Calculated formation energy ... 433.2 meV/atom

=====

Computed, not measured: a geometry-optimized CoNiAg2 structure at the PBE level of DFT.

abc: 5.355 9.131 2.692
angles: 90.00 116.22 90.00
Space group C2/m (No. 12)
One atom of each set of equivalent atoms:
Co  0.000  0.000  0.000 [2 per cell]
Ni  0.000  0.500  0.000 [2 per cell]
Ag  0.250  0.250  0.500 [4 per cell]

Results
Crystal system ... monoclinic
Total moment ... 0.5469 μB/atom
ΔE to the lowest computed polymorph ... 226 meV/atom
Calculated density ... 9.375 Mg/m³
Calculated formation energy ... 434.3 meV/atom

=====

Computed, not measured: a geometry-optimized Co2NiAg structure at the PBE level of DFT.

abc: 2.607 2.607 7.537
angles: 90.00 90.00 90.00
Space group P4/mmm (No. 123)
One atom of each set of equivalent atoms:
Co  0.000  0.000  0.222 [2 per cell]
Ni  0.500  0.500  0.000 [1 per cell]
Ag  0.500  0.500  0.500 [1 per cell]

Results
Crystal system ... tetragonal
Total moment ... 1.0756 μB/atom
ΔE to the lowest computed polymorph ... 75 meV/atom
Calculated density ... 9.220 Mg/m³
Calculated formation energy ... 283.6 meV/atom